# 1
Material: Ta2AlC
Method: DFT, PBE
State: optimized geometry

Geometry as CIF:
```
data_Ta2AlC
_space_group_name_H-M_alt 'P 1'
_space_group_IT_number 1
_cell_length_a 3.1085
_cell_length_b 3.1085
_cell_length_c 7.2832
_cell_angle_alpha 101.71
_cell_angle_beta 101.71
_cell_angle_gamma 60.17
loop_
_space_group_symop_operation_xyz
'x,y,z'
loop_
_atom_site_label
_atom_site_type_symbol
_atom_site_fract_x
_atom_site_fract_y
_atom_site_fract_z
Ta1 Ta 0.2200 0.2200 0.1730
Ta2 Ta 0.7800 0.7800 0.8270
Al1 Al 0.0000 0.0000 0.5000
C1 C 0.5000 0.5000 0.0000
```

Calculated values
**Space-group type**: C2/m (12)

=====

# 2
Material: RbTe2As
Method: DFT, PBE
State: optimized geometry

Geometry as CIF:
```
data_RbTe2As
_space_group_name_H-M_alt 'P 1'
_space_group_IT_number 1
_cell_length_a 5.6605
_cell_length_b 5.6777
_cell_length_c 9.9960
_cell_angle_alpha 85.81
_cell_angle_beta 84.35
_cell_angle_gamma 89.21
loop_
_space_group_symop_operation_xyz
'x,y,z'
loop_
_atom_site_label
_atom_site_type_symbol
_atom_site_fract_x
_atom_site_fract_y
_atom_site_fract_z
Rb1 Rb 0.0000 0.0000 0.0000
Rb2 Rb 0.2871 0.4359 0.6246
Te1 Te 0.3864 0.9155 0.3090
Te2 Te 0.5333 0.5241 0.9663
Te3 Te 0.7546 0.9025 0.6584
Te4 Te 0.8997 0.4076 0.3160
As1 As 0.4570 0.4590 0.2270
As2 As 0.8301 0.9316 0.3972
```

Calculated values
**Space-group type**: P1 (1)
**Energy relative to the elements, uncorrected**: -0.421 eV/atom

=====

The calculation returns the following DFT total energy values, one per record and in order: -38.324, -13.586 eV per formula unit.